Computed, not measured: an optimized crystal structure of CsHfCuSe3 at the PBE level of DFT.

- space group = No. 12
- theoretical density (g/cm3) = 6.284
- final energy (eV/atom) = -5.02

Lattice parameters (Å, degrees): 9.056 9.056 9.301 95.03 95.03 25.19
Element x y z (fractional)
Cs (0.150, 0.150, 0.068)
Cs (0.850, 0.850, 0.932)
Hf (0.152, 0.152, 0.563)
Hf (0.848, 0.848, 0.437)
Cu (0.469, 0.469, 0.249)
Cu (0.531, 0.531, 0.751)
Se (0.000, 0.000, 0.500)
Se (0.315, 0.315, 0.620)
Se (0.336, 0.336, 0.244)
Se (0.500, 0.500, 0.000)
Se (0.664, 0.664, 0.756)
Se (0.685, 0.685, 0.380)

---

Computed, not measured: an optimized crystal structure of CsHfCuSe3 at the PBE level of DFT.

- space group = No. 11
- theoretical density (g/cm3) = 6.082
- final energy (eV/atom) = -5.29

Lattice parameters (Å, degrees): 9.120 3.928 10.369 90.00 115.93 90.00
Element x y z (fractional)
Cs (0.027, 0.250, 0.279)
Cs (0.973, 0.750, 0.721)
Hf (0.474, 0.250, 0.165)
Hf (0.526, 0.750, 0.835)
Cu (0.482, 0.750, 0.399)
Cu (0.518, 0.250, 0.601)
Se (0.267, 0.750, 0.152)
Se (0.335, 0.750, 0.560)
Se (0.336, 0.250, 0.869)
Se (0.664, 0.750, 0.131)
Se (0.665, 0.250, 0.440)
Se (0.733, 0.250, 0.848)

---

Computed, not measured: an optimized crystal structure of CsHfCu3Se4 at the PBE level of DFT.

- space group = No. 215
- theoretical density (g/cm3) = 5.141
- E above lowest polymorph (meV/atom) = 202

Lattice parameters (Å, degrees): 6.417 6.417 6.417 90.00 90.00 90.00
Element x y z (fractional)
Cs (0.000, 0.000, 0.000)
Hf (0.500, 0.500, 0.500)
Cu (0.000, 0.500, 0.500)
Cu (0.500, 0.000, 0.500)
Cu (0.500, 0.500, 0.000)
Se (0.279, 0.279, 0.279)
Se (0.279, 0.721, 0.721)
Se (0.721, 0.279, 0.721)
Se (0.721, 0.721, 0.279)

---

Computed, not measured: an optimized crystal structure of CsHfCuTeSe2 at the PBE level of DFT.

- space group = No. 63
- theoretical density (g/cm3) = 6.163
- E above lowest polymorph (meV/atom) = 6

Lattice parameters (Å, degrees): 8.674 8.674 10.629 90.00 90.00 153.57
Element x y z (fractional)
Cs (0.234, 0.766, 0.750)
Cs (0.766, 0.234, 0.250)
Hf (0.000, 0.000, 0.000)
Hf (0.000, 0.000, 0.500)
Cu (0.472, 0.528, 0.250)
Cu (0.528, 0.472, 0.750)
Te (0.073, 0.927, 0.250)
Te (0.927, 0.073, 0.750)
Se (0.396, 0.604, 0.056)
Se (0.396, 0.604, 0.444)
Se (0.604, 0.396, 0.556)
Se (0.604, 0.396, 0.944)

---

> Number 4 is which compound?

CsHfCuTeSe2